First-principles (PBE) data for a geometry-optimized TmGaPd2 structure, as listed in Alexandria via LeMat-Bulk.

Output
As for the space-group type: No. 62. Its total magnetization is 0.00 μB/f.u. Its calculated total energy is -21.46 eV per formula unit.

Cell lengths 5.6011, 7.1911, 7.2098 Å; angles 90.00, 90.00, 90.00 degrees
Closest atoms and distances in Å follow each position.
Fractional coordinates of all 16 atoms:
Ga 0.3606 0.7500 0.6140  6 Pd 2.54-2.62
Tm 0.6432 0.7500 0.9739  3 Ga 2.96-3.04, 8 Pd 3.01-3.12
Pd 0.0881 0.9497 0.8127  3 Ga 2.54-2.62
Ga 0.8606 0.2500 0.8860  6 Pd 2.54-2.62
Pd 0.5881 0.4497 0.6873  3 Ga 2.54-2.62
Pd 0.5881 0.0503 0.6873  3 Ga 2.54-2.62
Pd 0.4119 0.9497 0.3127  3 Ga 2.54-2.62
Pd 0.4119 0.5503 0.3127  3 Ga 2.54-2.62
Ga 0.6394 0.2500 0.3860  6 Pd 2.54-2.62
Pd 0.0881 0.5503 0.8127  3 Ga 2.54-2.62
Tm 0.1432 0.2500 0.5261  3 Ga 2.96-3.04, 8 Pd 3.01-3.12
Ga 0.1394 0.7500 0.1140  6 Pd 2.54-2.62
Tm 0.3568 0.2500 0.0261  3 Ga 2.96-3.04, 8 Pd 3.01-3.12
Pd 0.9119 0.4497 0.1873  3 Ga 2.54-2.62
Pd 0.9119 0.0503 0.1873  3 Ga 2.54-2.62
Tm 0.8568 0.7500 0.4739  3 Ga 2.96-3.04, 8 Pd 3.01-3.12